# 1
The following is a PBE-GGA calculation of an optimized crystal structure of TiBe17Re, from the Alexandria database.

Computed properties:
The calculation puts the total energy at -86.8 eV per formula unit.

Lattice parameters (Å, degrees): 7.2835 7.2835 10.6116 90.00 90.00 120.00
With the nearest neighbours (Å) after each atom.
Space group R3m (No. 160, hexagonal axes)
Unique sites:
Ti  0.0000  0.0000  0.0000 [3 per cell]  19 Be 2.57-2.77
Be  0.0000  0.0000  0.2426 [3 per cell]  7 Be 2.12-2.33
Be  0.0000  0.0000  0.4420 [3 per cell]  7 Be 2.12-2.27
Be  0.0032  0.3017  0.3398 [18 per cell]  8 Be 2.08-2.22
Be  0.0037  0.5018  0.8394 [9 per cell]  10 Be 2.08-2.23
Be  0.0103  0.5052  0.4948 [9 per cell]  8 Be 2.08-2.21
Be  0.1682  0.3363  0.5190 [9 per cell]  9 Be 2.08-2.27
Re  0.0000  0.0000  0.6794 [3 per cell]  19 Be 2.52-2.81

# 2
The following is a PBE-GGA calculation of an optimized crystal structure of BaScAs2, from the Alexandria database.

Computed properties:
The calculation puts the energy above the most stable polymorph in this dataset at 0.145 eV/atom. The calculation puts the total energy at -21.1 eV per formula unit.

Lattice parameters (Å, degrees): 3.4558 3.8150 7.8586 90.00 99.93 90.00
With the nearest neighbours (Å) after each atom.
Space group P2/m (No. 10)
Unique sites:
Ba  0.0000  0.0000  0.0000 [1 per cell]  8 As 3.37-3.49, 2 Ba 3.46
Sc  0.0000  0.0000  0.5000 [1 per cell]  4 As 2.76
As  0.4195  0.5000  0.7081 [2 per cell]  2 Sc 2.76